AcAlTl2O6: optimized geometry, PBE-GGA.

For the uncorrected formation energy, the calculation gives -1.808 eV/atom. For the total DFT energy (no corrections), the calculation gives -181.24 eV for the cell shown. For the calculated density, the calculation gives 8.741 Mg/m³. As for the density of states at the Fermi level: 0.00 states/eV per atom. For the volume, the calculation gives 14.4 Å³/atom.

The structure belongs to space group R3 (No. 146, hexagonal axes); the cell edges are 5.7260, 5.7260 and 15.2288 Å and the angles 90.00°, 90.00° and 120.00°. The asymmetric unit holds Ac at (0.0000, 0.0000, 0.0000), Al at (0.0000, 0.0000, 0.4786), Tl at (0.0000, 0.0000, 0.2635), Tl at (0.0000, 0.0000, 0.7789), O at (0.0192, 0.7475, 0.3963) and O at (0.0230, 0.3818, 0.2136).

TaAlMo2: optimized geometry, PBE-GGA.

For the total DFT energy (no corrections), the calculation gives -37.17 eV for the cell shown. For the calculated density, the calculation gives 10.086 Mg/m³. As for the density of states at the Fermi level: 0.51 states/eV per atom. For the volume, the calculation gives 16.5 Å³/atom. The energy of formation comes out at 0.02 eV per atom.

The structure belongs to space group Pmmm (No. 47); the cell edges are 2.7054, 4.3145 and 5.6394 Å and the angles 90.00°, 90.00° and 90.00°. The asymmetric unit holds Ta at (0.0000, 0.0000, 0.0000), Al at (0.0000, 0.0000, 0.5000) and Mo at (0.5000, 0.5000, 0.2657).

SrTiNbSe2: optimized geometry, PBE-GGA.

For the uncorrected formation energy, the calculation gives -0.295 eV/atom. For the total DFT energy (no corrections), the calculation gives -28.09 eV for the cell shown. For the calculated density, the calculation gives 4.972 Mg/m³. As for the density of states at the Fermi level: 0.58 states/eV per atom. For the volume, the calculation gives 25.8 Å³/atom.

The structure belongs to space group P4/mmm (No. 123); the cell edges are 5.2567, 5.2567 and 4.6687 Å and the angles 90.00°, 90.00° and 90.00°. The asymmetric unit holds Sr at (0.0000, 0.0000, 0.0000), Ti at (0.5000, 0.5000, 0.0000), Nb at (0.5000, 0.5000, 0.5000) and Se at (0.0000, 0.5000, 0.5000).

YUSeN2: optimized geometry, PBE-GGA.

For the uncorrected formation energy, the calculation gives -1.567 eV/atom. For the total DFT energy (no corrections), the calculation gives -91.44 eV for the cell shown. For the calculated density, the calculation gives 8.027 Mg/m³. As for the density of states at the Fermi level: 0.61 states/eV per atom. For the volume, the calculation gives 18.0 Å³/atom.

The structure belongs to space group I4mm (No. 107); the cell edges are 3.8366, 3.8366 and 12.1965 Å and the angles 90.00°, 90.00° and 90.00°. The asymmetric unit holds Y at (0.0000, 0.0000, 0.0000), U at (0.0000, 0.0000, 0.3156), Se at (0.0000, 0.0000, 0.6567) and N at (0.0000, 0.5000, 0.3966).

Ce3S4: optimized geometry, PBE-GGA.

For the uncorrected formation energy, the calculation gives -2.028 eV/atom. For the total DFT energy (no corrections), the calculation gives -194.02 eV for the cell shown. For the calculated density, the calculation gives 5.872 Mg/m³. As for the density of states at the Fermi level: 2.08 states/eV per atom. For the volume, the calculation gives 22.2 Å³/atom.

The structure belongs to space group I-43d (No. 220); the cell edges are 8.5295, 8.5295 and 8.5295 Å and the angles 90.00°, 90.00° and 90.00°. The asymmetric unit holds Ce at (0.0000, 0.2500, 0.8750) and S at (0.0756, 0.4244, 0.5756).

SrInH2: optimized geometry, PBE-GGA.

For the total DFT energy (no corrections), the calculation gives -44.95 eV for the cell shown. For the calculated density, the calculation gives 4.387 Mg/m³. As for the density of states at the Fermi level: 0.26 states/eV per atom. For the volume, the calculation gives 19.3 Å³/atom.

The structure belongs to space group I-42d (No. 122); the cell edges are 5.0522, 5.0522 and 12.1262 Å and the angles 90.00°, 90.00° and 90.00°. The asymmetric unit holds Sr at (0.0000, 0.0000, 0.0000), In at (0.0000, 0.0000, 0.5000) and H at (0.2389, 0.2500, 0.6250).

Sm4In5Au2: optimized geometry, PBE-GGA.

For the total DFT energy (no corrections), the calculation gives -45.35 eV for the cell shown. For the calculated density, the calculation gives 8.988 Mg/m³. As for the density of states at the Fermi level: 0.75 states/eV per atom. For the volume, the calculation gives 26.4 Å³/atom. The energy of formation comes out at -0.57 eV per atom.

The structure belongs to space group P2/m (No. 10); the cell edges are 7.8609, 3.6826 and 10.0500 Å and the angles 90.00°, 94.67° and 90.00°. The asymmetric unit holds Sm at (0.1776, 0.0000, 0.3710), Sm at (0.2442, 0.0000, 0.9411), In at (0.1815, 0.5000, 0.6545), In at (0.4533, 0.5000, 0.1899), In at (0.5000, 0.5000, 0.5000) and Au at (0.0693, 0.5000, 0.1378).

NdY2Th: optimized geometry, PBE-GGA.

For the total DFT energy (no corrections), the calculation gives -25.04 eV for the cell shown. For the calculated density, the calculation gives 6.967 Mg/m³. As for the density of states at the Fermi level: 1.23 states/eV per atom. For the volume, the calculation gives 33.0 Å³/atom. The energy of formation comes out at 0.02 eV per atom.

The structure belongs to space group P4/mmm (No. 123); the cell edges are 3.6014, 3.6014 and 10.1824 Å and the angles 90.00°, 90.00° and 90.00°. The asymmetric unit holds Nd at (0.0000, 0.0000, 0.0000), Y at (0.5000, 0.5000, 0.2593) and Th at (0.0000, 0.0000, 0.5000).